[1]
Here is DyErIrAu after structural relaxation from Alexandria via LeMat-Bulk. Energies are from GGA-PBE.

Computed properties:
**Space-group type**: F-43m
**Distance to the lowest polymorph of the same formula**: 1.3 kJ/mol of atoms
**DOS(E_F)**: 0.870 states/eV per atom

a = 4.9453 Å, b = 4.9453 Å, c = 4.9453 Å
α = 60.00°, β = 60.00°, γ = 60.00°
Closest atoms and distances in Å follow each position.
Atoms (fractional coordinates):
Ir  0.5000  0.5000  0.5000  4 Dy 3.03, 4 Er 3.03
Au  0.0000  0.0000  0.0000  4 Dy 3.03, 4 Er 3.03
Dy  0.2500  0.2500  0.2500  4 Ir 3.03, 4 Au 3.03
Er  0.7500  0.7500  0.7500  4 Au 3.03, 4 Ir 3.03

---

[2]
Here is Ce5TmZn6 after structural relaxation from Alexandria via LeMat-Bulk. Energies are from GGA-PBE.

Computed properties:
**VASP energy**: -44.32 eV per formula unit
**Space-group type**: Cmmm
**DOS(E_F)**: 1.716 states/eV per atom

a = 4.4777 Å, b = 8.6759 Å, c = 7.1675 Å
α = 90.00°, β = 71.80°, γ = 90.00°
Closest atoms and distances in Å follow each position.
Atoms (fractional coordinates):
Zn  0.8442  0.7511  0.3117  1 Tm 3.03, 7 Ce 3.04-3.23, 2 Zn 3.09
Zn  0.8442  0.2489  0.3117  1 Tm 3.03, 7 Ce 3.04-3.23, 2 Zn 3.09
Zn  0.5000  0.2397  0.0000  2 Tm 3.06, 4 Zn 3.09, 6 Ce 3.18-3.28
Zn  0.5000  0.7603  0.0000  2 Tm 3.06, 4 Zn 3.09, 6 Ce 3.18-3.28
Zn  0.1558  0.7511  0.6883  1 Tm 3.03, 7 Ce 3.04-3.23, 2 Zn 3.09
Zn  0.1558  0.2489  0.6883  1 Tm 3.03, 7 Ce 3.04-3.23, 2 Zn 3.09
Tm  0.0000  0.0000  0.0000  8 Zn 3.03-3.06, 4 Ce 3.38
Ce  0.6693  0.5000  0.6614  8 Zn 3.13-3.23, 4 Ce 3.14-3.21
Ce  0.3137  0.0000  0.3726  2 Ce 2.83, 6 Zn 3.05-3.14
Ce  0.0000  0.5000  0.0000  8 Zn 3.04-3.18, 4 Ce 3.21
Ce  0.6863  0.0000  0.6274  2 Ce 2.83, 6 Zn 3.05-3.14
Ce  0.3307  0.5000  0.3386  8 Zn 3.13-3.23, 4 Ce 3.14-3.21

---

[3]
Here is Zr2SnRh5 after structural relaxation from Alexandria via LeMat-Bulk. Energies are from GGA-PBE.

Computed properties:
**VASP energy**: -64.46 eV per formula unit
**Space-group type**: Pbam
**DOS(E_F)**: 0.515 states/eV per atom

a = 4.1402 Å, b = 5.6602 Å, c = 11.1970 Å
α = 90.00°, β = 90.00°, γ = 90.00°
Closest atoms and distances in Å follow each position.
Atoms (fractional coordinates):
Zr  0.5000  0.3144  0.3588  10 Rh 2.73-2.96
Zr  0.5000  0.6856  0.6412  10 Rh 2.73-2.96
Zr  0.5000  0.1856  0.8588  10 Rh 2.73-2.96
Zr  0.5000  0.8144  0.1412  10 Rh 2.73-2.96
Sn  0.0000  0.0000  0.5000  8 Rh 2.71-2.83
Sn  0.0000  0.5000  0.0000  8 Rh 2.71-2.83
Rh  0.5000  0.2932  0.1152  2 Sn 2.71, 4 Zr 2.73-2.96, 6 Rh 2.90-2.96
Rh  0.5000  0.7068  0.8848  2 Sn 2.71, 4 Zr 2.73-2.96, 6 Rh 2.90-2.96
Rh  0.5000  0.7932  0.3848  2 Sn 2.71, 4 Zr 2.73-2.96, 6 Rh 2.90-2.96
Rh  0.5000  0.2068  0.6152  2 Sn 2.71, 4 Zr 2.73-2.96, 6 Rh 2.90-2.96
Rh  0.0000  0.9432  0.7484  4 Zr 2.77-2.80, 1 Sn 2.80, 7 Rh 2.83-2.96
Rh  0.0000  0.0568  0.2516  4 Zr 2.77-2.80, 1 Sn 2.80, 7 Rh 2.83-2.96
Rh  0.0000  0.4432  0.7516  4 Zr 2.77-2.80, 1 Sn 2.80, 7 Rh 2.83-2.96
Rh  0.0000  0.5568  0.2484  4 Zr 2.77-2.80, 1 Sn 2.80, 7 Rh 2.83-2.96
Rh  0.0000  0.5000  0.5000  4 Zr 2.81, 2 Sn 2.83, 6 Rh 2.83-2.95
Rh  0.0000  0.0000  0.0000  4 Zr 2.81, 2 Sn 2.83, 6 Rh 2.83-2.95

---

[4]
Here is Tl2Co after structural relaxation from Alexandria via LeMat-Bulk. Energies are from GGA-PBE.

Computed properties:
**VASP energy**: -9.82 eV per formula unit
**Space-group type**: P6_3/mmc
**DOS(E_F)**: 1.713 states/eV per atom

a = 4.7389 Å, b = 4.7389 Å, c = 6.9006 Å
α = 90.00°, β = 90.00°, γ = 120.00°
Closest atoms and distances in Å follow each position.
Atoms (fractional coordinates):
Tl  0.0000  0.0000  0.0000  8 Tl 3.23-3.45, 6 Co 3.23
Tl  0.0000  0.0000  0.5000  8 Tl 3.23-3.45, 6 Co 3.23
Tl  0.3333  0.6667  0.7500  3 Co 2.74
Tl  0.6667  0.3333  0.2500  3 Co 2.74
Co  0.3333  0.6667  0.2500  3 Tl 2.74
Co  0.6667  0.3333  0.7500  3 Tl 2.74

---

[5]
Here is SrAlH5 after structural relaxation from Alexandria via LeMat-Bulk. Energies are from GGA-PBE.

Computed properties:
**Space-group type**: P2_12_12_1
**Distance to the lowest polymorph of the same formula**: 0.0 kJ/mol of atoms
**DOS(E_F)**: 0.000 states/eV per atom

a = 4.4259 Å, b = 5.1609 Å, c = 12.5707 Å
α = 90.00°, β = 90.00°, γ = 90.00°
Closest atoms and distances in Å follow each position.
Atoms (fractional coordinates):
Al  0.0723  0.8798  0.1655  6 H 1.69-1.81
Al  0.5723  0.1202  0.3345  6 H 1.69-1.81
Al  0.4277  0.3798  0.8345  6 H 1.69-1.81
Al  0.9277  0.6202  0.6655  6 H 1.69-1.81
H  0.2689  0.1420  0.7609  1 Al 1.69
H  0.7689  0.8580  0.7391  1 Al 1.69
H  0.2311  0.6420  0.2391  1 Al 1.69
H  0.7311  0.3580  0.2609  1 Al 1.69
H  0.9242  0.6542  0.0788  1 Al 1.72
H  0.4242  0.3458  0.4212  1 Al 1.72
H  0.5758  0.1542  0.9212  1 Al 1.72
H  0.0758  0.8458  0.5788  1 Al 1.72
H  0.9428  0.1347  0.0905  1 Al 1.72
H  0.4428  0.8653  0.4095  1 Al 1.72
H  0.5572  0.6347  0.9095  1 Al 1.72
H  0.0572  0.3653  0.5905  1 Al 1.72
H  0.3815  0.8848  0.0792  1 Al 1.75
H  0.8815  0.1152  0.4208  1 Al 1.75
H  0.1185  0.3848  0.9208  1 Al 1.75
H  0.6185  0.6152  0.5792  1 Al 1.75
H  0.7627  0.8793  0.2542  2 Al 1.77-1.81
H  0.2627  0.1207  0.2458  2 Al 1.77-1.81
H  0.7373  0.3793  0.7458  2 Al 1.77-1.81
H  0.2373  0.6207  0.7542  2 Al 1.77-1.81
Sr  0.0387  0.8934  0.9086  12 H 2.45-2.74
Sr  0.5387  0.1066  0.5914  12 H 2.45-2.74
Sr  0.4613  0.3934  0.0914  12 H 2.45-2.74
Sr  0.9613  0.6066  0.4086  12 H 2.45-2.74

---

[6]
Here is V5CrRe4 after structural relaxation from Alexandria via LeMat-Bulk. Energies are from GGA-PBE.

Computed properties:
**VASP energy**: -108.09 eV per formula unit
**Space-group type**: P4/mmm
**DOS(E_F)**: 0.553 states/eV per atom

a = 3.0186 Å, b = 3.0186 Å, c = 15.0962 Å
α = 90.00°, β = 90.00°, γ = 90.00°
Closest atoms and distances in Å follow each position.
Atoms (fractional coordinates):
V  0.5000  0.5000  0.0948  4 Cr 2.57, 4 Re 2.63, 1 V 2.86
V  0.5000  0.5000  0.2971  8 Re 2.62-2.63
V  0.5000  0.5000  0.5000  8 Re 2.63
V  0.5000  0.5000  0.7029  8 Re 2.62-2.63
V  0.5000  0.5000  0.9052  4 Cr 2.57, 4 Re 2.63, 1 V 2.86
Cr  0.0000  0.0000  0.0000  8 V 2.57
Re  0.0000  0.0000  0.1960  8 V 2.62-2.63
Re  0.0000  0.0000  0.3987  8 V 2.63
Re  0.0000  0.0000  0.6013  8 V 2.63
Re  0.0000  0.0000  0.8040  8 V 2.62-2.63

---

[7]
Here is PuZnCo after structural relaxation from Alexandria via LeMat-Bulk. Energies are from GGA-PBE.

Computed properties:
**Space-group type**: F-43m
**Distance to the lowest polymorph of the same formula**: 19.0 kJ/mol of atoms
**DOS(E_F)**: 2.782 states/eV per atom

a = 4.3614 Å, b = 4.3614 Å, c = 4.3614 Å
α = 60.00°, β = 60.00°, γ = 60.00°
Closest atoms and distances in Å follow each position.
Atoms (fractional coordinates):
Zn  0.5000  0.5000  0.5000  4 Co 2.67
Co  0.2500  0.2500  0.2500  4 Pu 2.67, 4 Zn 2.67
Pu  0.0000  0.0000  0.0000  4 Co 2.67

---

[8]
Here is Be2Pb after structural relaxation from Alexandria via LeMat-Bulk. Energies are from GGA-PBE.

Computed properties:
**Space-group type**: Immm
**Distance to the lowest polymorph of the same formula**: 24.3 kJ/mol of atoms
**DOS(E_F)**: 0.251 states/eV per atom

a = 6.8732 Å, b = 6.8732 Å, c = 6.8732 Å
α = 150.05°, β = 140.31°, γ = 50.51°
Closest atoms and distances in Å follow each position.
Atoms (fractional coordinates):
Be  0.5806  0.5806  0.0000  1 Be 2.01
Be  0.2755  0.0000  0.2755  5 Be 2.10-2.29
Be  0.7245  0.0000  0.7245  5 Be 2.10-2.29
Be  0.4194  0.4194  0.0000  1 Be 2.01
Pb  0.8465  0.3465  0.5000  2 Be 2.50
Pb  0.1535  0.6535  0.5000  2 Be 2.50

---

[9]
Here is Zr2Al2S after structural relaxation from Alexandria via LeMat-Bulk. Energies are from GGA-PBE.

Computed properties:
**Space-group type**: P4/mbm
**Energy relative to the elements, uncorrected**: -644 meV/atom
**DOS(E_F)**: 0.333 states/eV per atom

a = 6.8231 Å, b = 6.8231 Å, c = 4.3352 Å
α = 90.00°, β = 90.00°, γ = 90.00°
Closest atoms and distances in Å follow each position.
Atoms (fractional coordinates):
S  0.0000  0.0000  0.0000  4 Zr 2.53
S  0.5000  0.5000  0.0000  4 Zr 2.53
Al  0.1342  0.6342  0.5000  1 Al 2.59, 2 Zr 2.87
Al  0.6342  0.8658  0.5000  1 Al 2.59, 2 Zr 2.87
Al  0.8658  0.3658  0.5000  1 Al 2.59, 2 Zr 2.87
Al  0.3658  0.1342  0.5000  1 Al 2.59, 2 Zr 2.87
Zr  0.3286  0.8286  0.0000  2 S 2.53
Zr  0.8286  0.6714  0.0000  2 S 2.53
Zr  0.6714  0.1714  0.0000  2 S 2.53
Zr  0.1714  0.3286  0.0000  2 S 2.53